This record from Alexandria describes an optimized crystal structure of Rb4Tm3CrSe8. The functional is PBE-GGA.

## Properties
E_tot in eV/atom: -4.8804
SG: R-3m, No. 166
Raw formation energy in eV/atom: -1.456

abc: 9.2711 9.2711 9.2711
angles: 52.76 52.76 52.76
Positions (direct):
Rb  0.0000  0.0000  0.0000
Rb  0.0000  0.5000  0.5000
Rb  0.5000  0.0000  0.5000
Rb  0.5000  0.5000  0.0000
Tm  0.0000  0.0000  0.5000
Tm  0.0000  0.5000  0.0000
Tm  0.5000  0.0000  0.0000
Cr  0.5000  0.5000  0.5000
Se  0.2319  0.2319  0.2319
Se  0.2473  0.7192  0.7192
Se  0.2808  0.2808  0.7527
Se  0.2808  0.7527  0.2808
Se  0.7192  0.2473  0.7192
Se  0.7192  0.7192  0.2473
Se  0.7527  0.2808  0.2808
Se  0.7681  0.7681  0.7681